No. 1
First-principles (GGA-PBE) data for a relaxed Ce2ThAs2Se2 crystal, as listed in Alexandria via LeMat-Bulk.

Cell: 5.602 5.602 14.658 Å, 90.00 90.00 90.00°
Space group I4/mmm (No. 139)
Unique sites:
Ce (0.000, 0.000, 0.116) [4 per cell]
Th (0.000, 0.000, 0.500) [2 per cell]
As (0.000, 0.500, 0.000) [4 per cell]
Se (0.000, 0.000, 0.304) [4 per cell]

Calculated values
The calculation puts the formation energy without anion corrections at -1.126 eV/atom. Its total energy is -86.87 eV for the cell shown.

No. 2
First-principles (GGA-PBE) data for a relaxed CeThAsSe crystal, as listed in Alexandria via LeMat-Bulk.

Cell: 4.225 4.225 5.971 Å, 90.00 90.00 90.00°
Space group P4/mmm (No. 123)
Unique sites:
Ce (0.000, 0.000, 0.000) [1 per cell]
Th (0.500, 0.500, 0.500) [1 per cell]
As (0.000, 0.000, 0.500) [1 per cell]
Se (0.500, 0.500, 0.000) [1 per cell]

Calculated values
The calculation puts the formation energy without anion corrections at -1.592 eV/atom. Its total energy is -27.86 eV for the cell shown.

No. 3
First-principles (GGA-PBE) data for a relaxed Ce2TmAs2Se2 crystal, as listed in Alexandria via LeMat-Bulk.

Cell: 5.267 5.267 14.593 Å, 90.00 90.00 90.00°
Space group I4/mmm (No. 139)
Unique sites:
Ce (0.000, 0.000, 0.120) [4 per cell]
Tm (0.000, 0.000, 0.500) [2 per cell]
As (0.000, 0.500, 0.000) [4 per cell]
Se (0.000, 0.000, 0.309) [4 per cell]

Calculated values
The calculation puts the formation energy without anion corrections at -1.195 eV/atom. Its total energy is -81.95 eV for the cell shown.

Ρ (g/cm³)
5.92 8.19 6.21